(1)
# KLi2Te

A relaxed structure of KLi2Te (GGA-PBE, the Alexandria database).

Cell lengths 4.550, 4.550, 8.430 Å; angles 74.70, 74.70, 59.90 degrees
Sites, in units of the cell vectors:
Li1 0.451 0.451 0.645
K1 0.250 0.250 0.250
Li2 0.049 0.049 0.855
Te1 0.750 0.750 0.750

Summary:
* density: 2.09 g/cm³
* electronic total energy: -2.643 eV per atom

(2)
# NdHo2Pt

A relaxed structure of NdHo2Pt (GGA-PBE, the Alexandria database).

Cell lengths 3.851, 3.851, 9.726 Å; angles 78.58, 78.58, 60.00 degrees
Sites, in units of the cell vectors:
Ho1 0.726 0.726 0.821
Ho2 0.274 0.274 0.179
Pt1 0.000 0.000 0.000
Nd1 0.500 0.500 0.500

Summary:
* formation energy from the elements: -0.524 eV/atom
* density: 9.14 g/cm³

(3)
# LuThTc

A relaxed structure of LuThTc (GGA-PBE, the Alexandria database).

Cell lengths 4.831, 4.831, 4.831 Å; angles 60.00, 60.00, 60.00 degrees
Sites, in units of the cell vectors:
Lu1 0.500 0.500 0.500
Th1 0.000 0.000 0.000
Tc1 0.250 0.250 0.250

Summary:
* formation energy from the elements: -0.038 eV/atom
* density: 10.52 g/cm³

(4)
# TbZn4Ga2

A relaxed structure of TbZn4Ga2 (GGA-PBE, the Alexandria database).

Cell lengths 4.069, 4.121, 7.583 Å; angles 105.77, 90.00, 90.00 degrees
Sites, in units of the cell vectors:
Ga1 0.500 0.584 0.167
Tb1 0.000 0.000 0.000
Zn1 0.500 0.186 0.371
Ga2 0.500 0.416 0.833
Zn2 0.000 0.310 0.619
Zn3 0.000 0.690 0.381
Zn4 0.500 0.814 0.629

Summary:
* formation energy from the elements: -0.288 eV/atom
* density: 7.60 g/cm³

(5)
# Al2NiAu

A relaxed structure of Al2NiAu (GGA-PBE, the Alexandria database).

Cell lengths 4.486, 2.979, 4.421 Å; angles 90.00, 90.00, 90.00 degrees
Sites, in units of the cell vectors:
Al1 0.500 0.375 0.211
Al2 0.000 0.875 0.016
Ni1 0.500 0.875 0.753
Au1 0.000 0.375 0.520

Summary:
* formation energy from the elements: -0.357 eV/atom
* density: 8.70 g/cm³

(6)
# HfMgTi4

A relaxed structure of HfMgTi4 (GGA-PBE, the Alexandria database).

Cell lengths 5.477, 5.477, 5.477 Å; angles 60.00, 60.00, 60.00 degrees
Site moments in Bohr magnetons follow the coordinates.
Sites, in units of the cell vectors:
Ti1 0.135 0.622 0.622  0.64
Ti2 0.622 0.135 0.622  0.64
Ti3 0.622 0.622 0.135  0.64
Hf1 0.250 0.250 0.250  0.18
Ti4 0.622 0.622 0.622  0.64
Mg1 0.000 0.000 0.000  -0.01

Summary:
* formation energy from the elements: 0.213 eV/atom
* density: 5.64 g/cm³

(7)
# Ti4Pd5Rh

A relaxed structure of Ti4Pd5Rh (GGA-PBE, the Alexandria database).

Cell lengths 2.911, 7.931, 7.329 Å; angles 109.40, 101.45, 90.00 degrees
Sites, in units of the cell vectors:
Rh1 0.500 0.000 0.000
Pd1 0.709 0.608 0.419
Pd2 0.500 0.500 0.000
Ti1 0.691 0.102 0.383
Pd3 0.110 0.809 0.221
Ti2 0.090 0.309 0.180
Pd4 0.291 0.392 0.581
Ti3 0.910 0.691 0.820
Pd5 0.890 0.191 0.779
Ti4 0.309 0.898 0.617

Summary:
* formation energy from the elements: -0.449 eV/atom
* density: 8.80 g/cm³

(8)
# CeHo2Th3Se6

A relaxed structure of CeHo2Th3Se6 (GGA-PBE, the Alexandria database).

Cell lengths 7.054, 7.054, 7.418 Å; angles 99.11, 99.11, 119.85 degrees
Site moments in Bohr magnetons follow the coordinates.
Sites, in units of the cell vectors:
Se1 0.737 0.737 0.234  0.00
Th1 0.837 0.163 0.500  0.01
Se2 0.420 0.079 0.238  0.00
Th2 0.163 0.837 0.500  0.01
Th3 0.500 0.500 0.500  0.00
Se3 0.921 0.580 0.762  0.00
Se4 0.263 0.263 0.766  0.00
Se5 0.580 0.921 0.762  0.00
Ho1 0.667 0.333 0.000  0.01
Ce1 0.000 0.000 0.000  0.56
Se6 0.079 0.420 0.238  0.00
Ho2 0.333 0.667 0.000  0.01

Summary:
* density: 8.96 g/cm³
* electronic total energy: -6.499 eV per atom

(9)
# Al2VPd9

A relaxed structure of Al2VPd9 (GGA-PBE, the Alexandria database).

Cell lengths 3.900, 3.900, 11.689 Å; angles 90.00, 90.00, 90.00 degrees
Sites, in units of the cell vectors:
Al1 0.000 0.000 0.338
V1 0.000 0.000 0.000
Pd1 0.000 0.500 0.500
Al2 0.000 0.000 0.662
Pd2 0.500 0.000 0.838
Pd3 0.500 0.500 0.000
Pd4 0.000 0.500 0.162
Pd5 0.500 0.000 0.500
Pd6 0.000 0.500 0.838
Pd7 0.500 0.500 0.669
Pd8 0.500 0.000 0.162
Pd9 0.500 0.500 0.331

Summary:
* formation energy from the elements: -0.512 eV/atom
* density: 9.93 g/cm³

(10)
# Pr2SmAl2Ga2

A relaxed structure of Pr2SmAl2Ga2 (GGA-PBE, the Alexandria database).

Cell lengths 4.297, 4.297, 11.752 Å; angles 79.47, 79.47, 60.00 degrees
Site moments in Bohr magnetons follow the coordinates.
Sites, in units of the cell vectors:
Pr1 0.123 0.123 0.632  0.11
Pr2 0.877 0.877 0.368  0.11
Al1 0.393 0.393 0.821  0.00
Sm1 0.000 0.000 0.000  0.00
Ga1 0.730 0.730 0.811  0.00
Al2 0.607 0.607 0.179  0.00
Ga2 0.270 0.270 0.189  0.00

Summary:
* formation energy from the elements: -0.432 eV/atom
* density: 5.66 g/cm³

(11)
# Nd2DyTl4

A relaxed structure of Nd2DyTl4 (GGA-PBE, the Alexandria database).

Cell lengths 5.802, 5.802, 8.929 Å; angles 108.96, 108.96, 90.00 degrees
Sites, in units of the cell vectors:
Tl1 0.000 0.500 0.000
Tl2 0.500 0.000 0.000
Tl3 0.806 0.806 0.613
Dy1 0.000 0.000 0.000
Nd1 0.603 0.603 0.206
Tl4 0.194 0.194 0.387
Nd2 0.397 0.397 0.794

Summary:
* formation energy from the elements: 0.126 eV/atom
* density: 7.89 g/cm³

(12)
# HoIBr2

A relaxed structure of HoIBr2 (GGA-PBE, the Alexandria database).

Cell lengths 7.364, 7.364, 8.035 Å; angles 108.96, 108.96, 112.04 degrees
Sites, in units of the cell vectors:
I1 0.565 0.885 0.630
I2 0.885 0.565 0.130
Br1 0.258 0.257 0.156
Br2 0.680 0.046 0.210
Br3 0.257 0.258 0.656
Ho1 0.438 0.118 0.917
Ho2 0.118 0.438 0.417
Br4 0.046 0.680 0.710

Summary:
* density: 4.56 g/cm³
* electronic total energy: -4.045 eV per atom

(13)
# Zr4PdRh

A relaxed structure of Zr4PdRh (GGA-PBE, the Alexandria database).

Cell lengths 3.214, 5.609, 13.556 Å; angles 90.48, 90.00, 90.00 degrees
Sites, in units of the cell vectors:
Zr1 0.501 0.164 0.843
Zr2 0.001 0.670 0.842
Pd1 0.000 0.000 0.500
Zr3 0.499 0.836 0.157
Zr4 0.999 0.664 0.343
Rh1 0.500 0.500 0.500
Zr5 0.001 0.336 0.657
Pd2 0.500 0.500 0.000
Zr6 0.999 0.330 0.158
Rh2 0.000 0.000 0.000
Zr7 0.501 0.830 0.658
Zr8 0.499 0.170 0.342

Summary:
* formation energy from the elements: -0.290 eV/atom
* density: 7.80 g/cm³

(14)
# HoH9Ru2

A relaxed structure of HoH9Ru2 (GGA-PBE, the Alexandria database).

Cell lengths 5.121, 6.250, 6.250 Å; angles 80.34, 65.82, 65.82 degrees
Sites, in units of the cell vectors:
Ru1 0.875 0.250 0.750
H1 0.117 0.184 0.416
Ho1 0.500 0.000 0.000
H2 0.051 0.916 0.316
Ru2 0.375 0.750 0.750
H3 0.750 0.500 0.500
H4 0.467 0.416 0.816
H5 0.283 0.684 0.084
H6 0.033 0.684 0.916
H7 0.717 0.816 0.584
H8 0.633 0.316 0.084
H9 0.699 0.584 0.184
Ru3 0.875 0.250 0.250
H10 0.033 0.916 0.684
H11 0.699 0.184 0.584
H12 0.467 0.816 0.416
H13 0.633 0.084 0.316
H14 0.000 0.000 0.000
H15 0.117 0.416 0.184
H16 0.051 0.316 0.916
Ho2 0.250 0.500 0.500
Ru4 0.875 0.750 0.250
H17 0.283 0.084 0.684
H18 0.717 0.584 0.816

Summary:
* density: 7.50 g/cm³
* electronic total energy: -4.388 eV per atom

(15)
# K2CuReO4

A relaxed structure of K2CuReO4 (GGA-PBE, the Alexandria database).

Cell lengths 5.599, 5.599, 5.599 Å; angles 100.11, 114.35, 114.35 degrees
Sites, in units of the cell vectors:
K1 0.500 0.750 0.250
O1 0.859 0.550 0.161
O2 0.141 0.303 0.691
O3 0.389 0.839 0.697
K2 0.000 0.000 0.000
Cu1 0.500 0.250 0.750
Re1 0.000 0.500 0.500
O4 0.611 0.309 0.450

Summary:
* density: 4.91 g/cm³
* electronic total energy: -6.137 eV per atom

(16)
# HfTiSn

A relaxed structure of HfTiSn (GGA-PBE, the Alexandria database).

Cell lengths 3.068, 3.068, 6.936 Å; angles 102.78, 102.78, 90.00 degrees
Sites, in units of the cell vectors:
Hf1 0.942 0.942 0.884
Sn1 0.622 0.622 0.244
Ti1 0.286 0.286 0.573

Summary:
* formation energy from the elements: -0.170 eV/atom
* density: 9.24 g/cm³

(17)
# Tb2YCd

A relaxed structure of Tb2YCd (GGA-PBE, the Alexandria database).

Cell lengths 3.623, 10.305, 6.594 Å; angles 90.00, 74.06, 90.00 degrees
Sites, in units of the cell vectors:
Tb1 0.369 0.965 0.261
Y1 0.038 0.750 0.924
Y2 0.962 0.250 0.076
Cd1 0.755 0.750 0.491
Tb2 0.631 0.465 0.739
Cd2 0.245 0.250 0.509
Tb3 0.369 0.535 0.261
Tb4 0.631 0.035 0.739

Summary:
* formation energy from the elements: -0.132 eV/atom
* density: 7.28 g/cm³

(18)
# ErSbSe3

A relaxed structure of ErSbSe3 (GGA-PBE, the Alexandria database).

Cell lengths 4.059, 7.221, 10.353 Å; angles 89.81, 90.00, 90.00 degrees
Sites, in units of the cell vectors:
Se1 0.750 0.093 0.322
Se2 0.750 0.414 0.675
Se3 0.250 0.231 0.994
Se4 0.750 0.769 0.006
Se5 0.250 0.586 0.325
Er1 0.250 0.926 0.171
Sb1 0.750 0.414 0.192
Sb2 0.250 0.586 0.808
Er2 0.750 0.074 0.829
Se6 0.250 0.907 0.678

Summary:
* density: 5.76 g/cm³
* electronic total energy: -4.881 eV per atom

(19)
# Na4Dy3ScTe8

A relaxed structure of Na4Dy3ScTe8 (GGA-PBE, the Alexandria database).

Cell lengths 8.765, 9.096, 8.766 Å; angles 118.83, 120.00, 90.00 degrees
Sites, in units of the cell vectors:
Na1 0.000 0.000 0.000
Te1 0.237 0.727 0.990
Na2 0.500 0.000 0.500
Te2 0.763 0.273 0.010
Na3 0.000 0.000 0.500
Te3 0.762 0.273 0.525
Dy1 0.000 0.500 0.500
Te4 0.752 0.727 0.990
Dy2 0.500 0.500 0.500
Na4 0.500 0.000 0.000
Te5 0.255 0.266 0.511
Te6 0.745 0.734 0.489
Sc1 0.000 0.500 0.000
Te7 0.248 0.273 0.010
Te8 0.238 0.727 0.475
Dy3 0.500 0.500 0.000

Summary:
* density: 5.43 g/cm³
* electronic total energy: -4.438 eV per atom

(20)
# LaWSe

A relaxed structure of LaWSe (GGA-PBE, the Alexandria database).

Cell lengths 4.711, 4.711, 4.711 Å; angles 60.00, 60.00, 60.00 degrees
Site moments in Bohr magnetons follow the coordinates.
Sites, in units of the cell vectors:
Se1 0.750 0.750 0.750  0.01
W1 0.000 0.000 0.000  0.57
La1 0.500 0.500 0.500  0.04

Summary:
* density: 9.02 g/cm³
* electronic total energy: -6.600 eV per atom

(21)
# Nd4PbSe2

A relaxed structure of Nd4PbSe2 (GGA-PBE, the Alexandria database).

Cell lengths 4.362, 7.195, 14.288 Å; angles 90.00, 90.00, 107.65 degrees
Site moments in Bohr magnetons follow the coordinates.
Sites, in units of the cell vectors:
Nd1 0.231 0.462 0.879  0.04
Nd2 0.060 0.120 0.250  0.05
Pb1 0.391 0.782 0.250  -0.01
Pb2 0.609 0.218 0.750  -0.01
Nd3 0.500 0.000 0.000  0.01
Nd4 0.500 0.000 0.500  0.01
Se1 0.135 0.270 0.060  0.00
Se2 0.865 0.730 0.940  0.00
Se3 0.865 0.730 0.560  0.00
Nd5 0.231 0.462 0.621  0.04
Nd6 0.769 0.538 0.379  0.04
Nd7 0.940 0.880 0.750  0.05
Se4 0.135 0.270 0.440  0.00
Nd8 0.769 0.538 0.121  0.04

Summary:
* density: 7.32 g/cm³
* electronic total energy: -5.483 eV per atom

(22)
# La2CuSnH

A relaxed structure of La2CuSnH (GGA-PBE, the Alexandria database).

Cell lengths 5.187, 5.187, 4.154 Å; angles 90.00, 90.00, 90.00 degrees
Sites, in units of the cell vectors:
H1 0.000 0.000 0.000
La1 0.500 0.000 0.000
La2 0.000 0.500 0.000
Cu1 0.000 0.000 0.500
Sn1 0.500 0.500 0.500

Summary:
* density: 6.85 g/cm³
* electronic total energy: -4.708 eV per atom

(23)
# GdUC

A relaxed structure of GdUC (GGA-PBE, the Alexandria database).

Cell lengths 6.281, 3.394, 3.394 Å; angles 120.00, 90.00, 90.00 degrees
Site moments in Bohr magnetons follow the coordinates.
Sites, in units of the cell vectors:
U1 0.222 0.333 0.667  -1.81
C1 0.014 0.000 0.000  0.02
Gd1 0.764 0.667 0.333  7.14

Summary:
* formation energy from the elements: 0.023 eV/atom
* density: 10.79 g/cm³

(24)
# La2Tb3Pm6Er

A relaxed structure of La2Tb3Pm6Er (GGA-PBE, the Alexandria database).

Cell lengths 6.297, 6.297, 12.050 Å; angles 95.02, 95.02, 120.00 degrees
Sites, in units of the cell vectors:
Pm1 0.584 0.916 0.746
Er1 0.000 0.000 0.000
Tb1 0.834 0.166 0.500
Pm2 0.753 0.753 0.254
Tb2 0.166 0.834 0.500
La1 0.667 0.333 0.000
La2 0.333 0.667 0.000
Pm3 0.084 0.416 0.254
Pm4 0.916 0.584 0.746
Pm5 0.416 0.084 0.254
Tb3 0.500 0.500 0.500
Pm6 0.247 0.247 0.746

Summary:
* formation energy from the elements: 0.018 eV/atom
* density: 7.30 g/cm³